The following is a DFT calculation (PBE) of a relaxed structure of HgIrPd3.

VASP energy = -19.8 eV/cell
space-group type = Pm-3m (221)
ΔE_f = 987 meV per atom
M_tot = 0.0 μB per formula unit

a = 4.872 Å, b = 4.872 Å, c = 4.872 Å
α = 90.00°, β = 90.00°, γ = 90.00°
Fractional positions:
Hg 0.000 0.000 0.000
Ir 0.500 0.500 0.500
Pd 0.000 0.500 0.500
Pd 0.500 0.000 0.500
Pd 0.500 0.500 0.000

=====

The following is a DFT calculation (PBE) of a relaxed structure of Sr2YBi2.

VASP energy = -39.0 eV/cell
space-group type = P4/mbm (127)
ΔE_f = -381 meV per atom
M_tot = 0.9 μB per formula unit

a = 9.493 Å, b = 9.493 Å, c = 3.933 Å
α = 90.00°, β = 90.00°, γ = 90.00°
Fractional positions:
Sr 0.127 0.373 0.000
Sr 0.373 0.873 0.000
Sr 0.627 0.127 0.000
Sr 0.873 0.627 0.000
Y 0.000 0.000 0.000
Y 0.500 0.500 0.000
Bi 0.176 0.676 0.500
Bi 0.324 0.176 0.500
Bi 0.676 0.824 0.500
Bi 0.824 0.324 0.500

=====

The following is a DFT calculation (PBE) of a relaxed structure of Li2MnAl2.

VASP energy = -38.2 eV/cell
space-group type = P4/mbm (127)
ΔE_f = 273 meV per atom
M_tot = 0.0 μB per formula unit

a = 6.980 Å, b = 6.980 Å, c = 2.781 Å
α = 90.00°, β = 90.00°, γ = 90.00°
Fractional positions:
Li 0.153 0.347 0.000
Li 0.347 0.847 0.000
Li 0.653 0.153 0.000
Li 0.847 0.653 0.000
Mn 0.000 0.000 0.500
Mn 0.500 0.500 0.500
Al 0.149 0.649 0.500
Al 0.351 0.149 0.500
Al 0.649 0.851 0.500
Al 0.851 0.351 0.500

=====

Please write out number 3 again, unchanged.
The following is a DFT calculation (PBE) of a relaxed structure of Li2MnAl2.

VASP energy = -38.2 eV/cell
space-group type = P4/mbm (127)
ΔE_f = 273 meV per atom
M_tot = 0.0 μB per formula unit

a = 6.980 Å, b = 6.980 Å, c = 2.781 Å
α = 90.00°, β = 90.00°, γ = 90.00°
Fractional positions:
Li 0.153 0.347 0.000
Li 0.347 0.847 0.000
Li 0.653 0.153 0.000
Li 0.847 0.653 0.000
Mn 0.000 0.000 0.500
Mn 0.500 0.500 0.500
Al 0.149 0.649 0.500
Al 0.351 0.149 0.500
Al 0.649 0.851 0.500
Al 0.851 0.351 0.500